[1]
DFT (SCAN) results for a PBEsol-optimized structure of CdAsC2.

Summary:
- SG: Fm-3m, No. 225
- Theoretical density: 7023 kg/m³
- ΔH_f (0 K): 2355 meV/atom

```
CdAsC2
1.0
-3.4434 -1.5593 1.6748
-0.4047 -4.0882 0.4649
0.1134 -1.6720 3.7795
Cd C As
1 2 1
direct
0.5000 0.5000 0.5000
0.7500 0.7500 0.7500
0.2500 0.2500 0.2500
0.0000 0.0000 0.0000
```



[2]
DFT (SCAN) results for a PBEsol-optimized structure of CdReAs2C.

Summary:
- SG: P4/mmm, No. 123
- Theoretical density: 6111 kg/m³
- ΔH_f (0 K): 3131 meV/atom

```
CdReAs2C
1.0
-2.4822 -2.2508 -3.6009
4.2118 -1.8366 -1.7553
-0.5692 -4.1732 3.0008
Re As C Cd
1 2 1 1
direct
0.0000 0.0000 0.5000
0.5000 0.0000 0.0000
0.0000 0.5000 0.0000
0.5000 0.5000 0.5000
0.0000 0.0000 0.0000
```



[3]
DFT (SCAN) results for a PBEsol-optimized structure of CdAsCSe2.

Summary:
- Polymorph energy (0 for the lowest one): 0 meV per atom
- Energy relative to the elements, uncorrected: 5.0 eV per formula unit
- SG: P4/mmm, No. 123
- Theoretical density: 6758 kg/m³

```
CdAsCSe2
1.0
4.0885 0.0000 0.0000
0.0000 4.6338 0.0000
0.0000 0.0000 4.6338
Cd Se C As
1 2 1 1
direct
0.5000 0.5000 0.5000
0.0000 0.0000 0.5000
0.0000 0.5000 0.0000
0.0000 0.0000 0.0000
0.5000 0.0000 0.0000
```



[4]
DFT (SCAN) results for a PBEsol-optimized structure of CdAsCSe2.

Summary:
- Polymorph energy (0 for the lowest one): 1084 meV per atom
- Energy relative to the elements, uncorrected: 10.5 eV per formula unit
- SG: P4/mmm, No. 123
- Theoretical density: 4482 kg/m³

```
CdAsCSe2
1.0
-3.9439 -3.1915 -0.4787
2.3479 -2.3190 -3.8834
2.2142 -3.2260 3.2652
Cd C Se As
1 1 2 1
direct
0.0000 0.0000 0.0000
0.5000 0.5000 0.5000
0.0000 0.0000 0.5000
0.0000 0.5000 0.0000
0.5000 0.0000 0.0000
```



[5]
DFT (SCAN) results for a PBEsol-optimized structure of AsCCl2.

Summary:
- Energy relative to the elements, uncorrected: 6.6 eV per formula unit
- SG: Fd-3m, No. 227
- Theoretical density: 3118 kg/m³

```
AsCCl2
1.0
-0.4956 2.8847 -5.4598
-5.5399 0.5615 -2.7149
-2.7372 5.5473 -0.3351
Cl As C
4 2 2
direct
0.1250 0.1250 0.1250
0.1250 0.1250 0.6250
0.1250 0.6250 0.1250
0.6250 0.1250 0.1250
0.5000 0.5000 0.5000
0.7500 0.7500 0.7500
0.0000 0.0000 0.0000
0.2500 0.2500 0.2500
```



[6]
DFT (SCAN) results for a PBEsol-optimized structure of AsCCl3.

Summary:
- Energy relative to the elements, uncorrected: 5.5 eV per formula unit
- SG: Pm-3m, No. 221
- Theoretical density: 2753 kg/m³

```
AsCCl3
1.0
-0.2105 2.9437 3.8933
2.6700 -3.1927 2.5584
4.0859 2.2380 -1.4712
Cl C As
3 1 1
direct
0.0000 0.0000 0.5000
0.5000 0.0000 0.0000
0.0000 0.5000 0.0000
0.5000 0.5000 0.5000
0.0000 0.0000 0.0000
```



[7]
DFT (SCAN) results for a PBEsol-optimized structure of AsCSCl2.

Summary:
- Energy relative to the elements, uncorrected: 6.9 eV per formula unit
- SG: P4/mmm, No. 123
- Theoretical density: 2825 kg/m³

```
AsCSCl2
1.0
4.7546 0.0000 0.0000
0.0000 4.7546 0.0000
0.0000 0.0000 4.9375
As S Cl C
1 1 2 1
direct
0.0000 0.0000 0.0000
0.0000 0.0000 0.5000
0.0000 0.5000 0.0000
0.5000 0.0000 0.0000
0.5000 0.5000 0.5000
```



[8]
DFT (SCAN) results for a PBEsol-optimized structure of As2CSCl.

Summary:
- Energy relative to the elements, uncorrected: 9.8 eV per formula unit
- SG: P4/mmm, No. 123
- Theoretical density: 3661 kg/m³

```
As2CSCl
1.0
4.5679 0.0000 0.0000
0.0000 4.7725 0.0000
0.0000 0.0000 4.7725
S C As Cl
1 1 2 1
direct
0.0000 0.0000 0.0000
0.5000 0.5000 0.5000
0.0000 0.5000 0.0000
0.0000 0.0000 0.5000
0.5000 0.0000 0.0000
```



[9]
DFT (SCAN) results for a PBEsol-optimized structure of CsCo2AsC.

Summary:
- SG: P4/mmm, No. 123
- Theoretical density: 6319 kg/m³
- ΔH_f (0 K): 1453 meV/atom

```
CsCo2AsC
1.0
-2.2334 -1.0208 3.4373
3.8422 0.0097 2.4993
-0.6119 4.4477 0.9234
As Cs C Co
1 1 1 2
direct
0.0000 0.0000 0.0000
0.5000 0.5000 0.5000
0.5000 0.0000 0.0000
0.0000 0.5000 0.0000
0.0000 0.0000 0.5000
```



[10]
DFT (SCAN) results for a PBEsol-optimized structure of Na3CoAsCO7.

Summary:
- Energy relative to the elements, uncorrected: -22.4 eV per formula unit
- SG: P2_1/m, No. 11
- Theoretical density: 3454 kg/m³

```
Na3CoAsCO7
1.0
5.1713 0.0000 0.0135
0.0000 6.6764 0.0000
-0.1481 0.0000 9.1005
Na O As C Co
6 14 2 2 2
direct
0.2466 0.5020 0.2597
0.7534 0.4980 0.7403
0.7534 0.0020 0.7403
0.7354 0.7500 0.0815
0.2646 0.2500 0.9185
0.2466 0.9980 0.2597
0.4505 0.7500 0.8809
0.8709 0.2500 0.5494
0.9791 0.2500 0.1408
0.0209 0.7500 0.8592
0.7920 0.2500 0.9157
0.2080 0.7500 0.0843
0.7270 0.9516 0.3053
0.2730 0.0484 0.6947
0.1291 0.7500 0.4506
0.5495 0.2500 0.1191
0.6445 0.7500 0.5828
0.7270 0.5484 0.3053
0.2730 0.4516 0.6947
0.3555 0.2500 0.4172
0.7997 0.7500 0.4183
0.2003 0.2500 0.5817
0.2258 0.7500 0.9430
0.7742 0.2500 0.0570
0.2837 0.7500 0.6618
0.7163 0.2500 0.3382
```



The records above give, respectively, total moment values of 0.0 2.3 0.0 0.3 0.8 1.9 1.1 0.0 1.9 3.0 μB per formula unit.
The records above give, respectively, raw total energy values of -0.564 -1.002 -0.704 -0.664 -0.365 -0.358 -0.360 -0.429 -0.701 -0.357 Ha/atom.
The records above give, respectively, DOS(E_F) values of 1.88 3.14 2.87 4.75 4.47 7.03 1.45 3.15 2.78 0.00 states/eV per cell.